P.
ZrMnTeN2 | PBE | optimized geometry

Cell lengths 4.143, 4.143, 6.125 Å; angles 90.00, 90.00, 90.00 degrees
Fractional positions:
Mn 0.500 0.500 0.500
Te 0.000 0.000 0.500
Zr 0.000 0.000 0.000
N 0.000 0.500 0.000
N 0.500 0.000 0.000

Results
Space-group type: P4/mmm (123)
Magnetic moment in μB per atom: 1.08



Q.
ZrMnTeN2 | PBE | optimized geometry

Cell lengths 3.910, 3.910, 5.069 Å; angles 90.00, 90.00, 90.00 degrees
Fractional positions:
Mn 0.000 0.000 0.000
Te 0.000 0.000 0.500
Zr 0.500 0.500 0.500
N 0.000 0.500 0.000
N 0.500 0.000 0.000

Results
Space-group type: P4/mmm (123)
Magnetic moment in μB per atom: 0.29



What should be chosen as the least stable of them? Choose Q.



P.
TiMn3N | PBE | optimized geometry

Cell lengths 4.228, 4.228, 4.228 Å; angles 90.00, 90.00, 90.00 degrees
Fractional positions:
N 0.500 0.500 0.500
Mn 0.000 0.500 0.000
Mn 0.000 0.000 0.500
Mn 0.500 0.000 0.000
Ti 0.000 0.000 0.000

Results
Space-group type: Pm-3m (221)
Magnetic moment in μB per atom: 0.27



Q.
TiMn3N | PBE | optimized geometry

Cell lengths 3.784, 3.784, 3.784 Å; angles 90.00, 90.00, 90.00 degrees
Fractional positions:
N 0.000 0.000 0.000
Mn 0.000 0.500 0.000
Mn 0.000 0.000 0.500
Mn 0.500 0.000 0.000
Ti 0.500 0.500 0.500

Results
Space-group type: Pm-3m (221)
Magnetic moment in μB per atom: 0.28



What should be chosen as the least stable of them? Choose P.